Record 1
An optimized crystal structure of LaRuO3, computed with PBE.

```
20
Lattice="4.9400 -2.7818 0.0000 4.9400 2.7818 0.0000 -3.2729 0.0000 9.3242" Properties=species:S:1:pos:R:3 pbc="T T T"
La 0.7995 1.3967 8.0993
La 4.1711 1.3967 5.8869
La 2.4360 -1.3967 3.4372
La 5.8075 -1.3967 1.2248
Ru 0.8335 1.3909 4.6621
Ru 4.1218 1.3887 2.3310
Ru 2.4700 -1.3909 0.0000
Ru 2.4853 -1.3887 6.9931
O -1.2190 0.0045 7.8726
O 0.4175 -0.0045 3.2105
O 2.8181 1.3927 3.9770
O 5.4254 1.3927 0.6851
O 1.2521 0.0047 6.1209
O 2.8885 -0.0047 1.4589
O 3.7186 0.0047 7.8653
O 5.3550 -0.0047 3.2032
O 1.1817 -1.3927 8.6391
O 3.7889 -1.3927 5.3471
O 6.1896 0.0045 6.1136
O 7.8260 -0.0045 1.4516
```

Computed properties:
**Raw formation energy**: -2.106 eV per atom
**Density**: 7.5 g/cm3
**Total DFT energy (no corrections)**: -7.922 eV/atom

Record 2
An optimized crystal structure of PmSnIr2, computed with PBE.

```
4
Lattice="4.5032 0.0000 0.0000 0.0000 4.5032 0.0000 0.0000 0.0000 3.8421" Properties=species:S:1:pos:R:3 pbc="T T T"
Pm 0.0000 0.0000 0.0000
Sn 2.2516 2.2516 0.0000
Ir 0.0000 2.2516 1.9211
Ir 2.2516 0.0000 1.9211
```

Computed properties:
**Density**: 13.8 g/cm3
**ΔH_f (0 K)**: -0.3900 eV per atom
**Total DFT energy (no corrections)**: -7.009 eV/atom

Record 3
An optimized crystal structure of Ba2YZnOs, computed with PBE.

```
5
Lattice="6.6626 0.0000 0.0000 0.0000 6.6626 0.0000 0.0000 0.0000 4.8465" Properties=species:S:1:pos:R:3 pbc="T T T"
Ba 0.0000 3.3313 0.0000
Ba 3.3313 0.0000 0.0000
Y 0.0000 0.0000 0.0000
Zn 3.3313 3.3313 2.4233
Os 0.0000 0.0000 2.4233
```

Computed properties:
**Density**: 4.8 g/cm3
**ΔH_f (0 K)**: 1.0123 eV per atom
**Total DFT energy (no corrections)**: -3.550 eV/atom